{
  "formula": "ZrTcSb2",
  "functional": "PBE",
  "state": "relaxed",
  "lattice_angstrom": [[-2.552, -1.539, -3.081], [0.909, -4.000, 1.244], [-8.418, -2.569, 5.275]],
  "species": ["Tc", "Sb", "Sb", "Sb", "Zr", "Zr", "Sb", "Tc"],
  "frac_coords": [[0.000, 0.000, 0.000], [0.875, 0.893, 0.750], [0.107, 0.625, 0.250], [0.643, 0.125, 0.250], [0.250, 0.750, 0.500], [0.500, 0.500, 0.000], [0.375, 0.357, 0.750], [0.750, 0.250, 0.500]],
  "magnetic_moment_mub_per_atom": 0.124,
  "raw_formation_energy_ev_per_fu": 0.88,
  "e_tot_ev_per_atom": -6.5705,
  "polymorph_energy_mev_per_atom": 457,
  "space_group": "I-42d"
}